[1]
The following is a DFT calculation (PBE) of a geometry-optimized Ce6SbP2Se3 structure.

```
Ce6SbP2Se3
1.0
9.193 -2.105 0.000
9.193 2.105 0.000
-1.917 0.000 8.263
Ce Sb P Se
6 1 2 3
Cartesian
-0.389 0.000 2.192
4.297 0.000 7.440
5.247 0.000 3.516
11.221 0.000 4.747
12.171 0.000 0.823
16.857 0.000 6.070
9.193 0.000 0.000
2.454 0.000 2.772
14.014 0.000 5.491
1.399 0.000 6.876
8.234 0.000 4.131
15.069 0.000 1.387
```

Summary:
Raw formation energy: -1.582 eV/atom
Magnetization: 0.44 μB per atom
Total energy: -6.665 eV per atom

---

[2]
The following is a DFT calculation (PBE) of a geometry-optimized Ce4SbPSe2 structure.

```
Ce4SbPSe2
1.0
7.336 0.000 0.000
0.000 4.248 0.000
-2.466 0.000 7.016
Ce Sb P Se
4 1 1 2
Cartesian
1.212 0.000 1.632
-0.021 2.124 5.386
4.891 2.124 1.630
3.658 0.000 5.383
-1.233 0.000 3.508
0.000 2.124 0.000
3.668 0.000 0.000
2.435 2.124 3.508
```

Summary:
Raw formation energy: -1.528 eV/atom
Magnetization: 0.45 μB per atom
Total energy: -6.557 eV per atom

---

[3]
The following is a DFT calculation (PBE) of a geometry-optimized TbCeSbP structure.

```
TbCeSbP
1.0
2.109 1.218 7.035
-2.109 1.218 7.035
0.000 -2.436 7.035
Tb Ce Sb P
1 1 1 1
Cartesian
0.000 0.000 0.000
0.000 0.000 10.911
0.000 0.000 15.987
0.000 0.000 5.478
```

Summary:
Raw formation energy: -1.298 eV/atom
Magnetization: 0.16 μB per atom
Total energy: -6.322 eV per atom

---

[4]
The following is a DFT calculation (PBE) of a geometry-optimized Ce6SbTe3P2 structure.

```
Ce6SbTe3P2
1.0
9.559 -2.157 0.000
9.559 2.157 0.000
-2.192 0.000 8.558
Ce Sb Te P
6 1 3 2
Cartesian
-0.303 0.000 2.188
5.269 0.000 3.722
4.378 0.000 7.591
12.547 0.000 0.967
11.656 0.000 4.836
17.228 0.000 6.369
9.559 0.000 0.000
1.259 0.000 7.128
8.463 0.000 4.279
15.666 0.000 1.430
2.498 0.000 2.884
14.427 0.000 5.674
```

Summary:
Raw formation energy: -1.368 eV/atom
Magnetization: 0.48 μB per atom
Total energy: -6.365 eV per atom